Here is a relaxed Rb2ReSiPb crystal from Alexandria. Energies are from PBE.

Summary:
Energy above the lowest structure with this stoichiometry = 0 meV/atom
Formation energy without anion corrections = 1.52 eV per atom
V = 240.3 Å³/cell

a b c (Å): 6.795 5.205 6.795
angles (deg): 90.00 90.00 90.00
Each line ends with the local moment (μB).
Sites, in units of the cell vectors:
Pb  0.000  0.500  0.000  -0.01
Re  0.500  0.500  0.500  3.70
Si  0.000  0.000  0.000  0.00
Rb  0.000  0.000  0.500  0.00
Rb  0.500  0.000  0.000  0.00